Entry from Alexandria: a relaxed CaWClO2 crystal (PBE+U).

a = 4.5430 Å, b = 4.8261 Å, c = 4.5430 Å
α = 90.00°, β = 90.00°, γ = 90.00°
Site moments in Bohr magnetons follow the coordinates.
Fractional coordinates of all 5 atoms:
Cl: 0.0000 0.0000 0.0000  0.02
O: 0.0000 0.0000 0.5000  0.11
O: 0.5000 0.0000 0.0000  0.17
Ca: 0.0000 0.5000 0.0000  0.05
W: 0.5000 0.5000 0.5000  3.60

The total magnetization is 4.71 μB per formula unit. The calculation puts the energy at -3.457 eV/atom. For the density of states at the Fermi level, the calculation gives 1.44 states/eV per cell.